## Li2YHgO (PBE-GGA)

Data for Li2YHgO after structural relaxation.

Cell: 4.451 4.451 4.467 Å, 90.00 90.00 90.00°
Fractional positions:
Li: 0.000 0.500 0.000
Li: 0.500 0.000 0.000
Y: 0.000 0.000 0.500
Hg: 0.500 0.500 0.500
O: 0.000 0.000 0.000

Summary:
* SG: P4/mmm (123)
* DFT total energy: -4.329 eV/atom